1.
This record from the Alexandria database describes crystalline Tb6SmTmSc2 at its relaxed geometry. The functional is PBE. Values from VASP.

Structure (Quantum ESPRESSO input):
```
&SYSTEM
  ibrav = 0, nat = 20, ntyp = 4
/
ATOMIC_SPECIES
Tb 158.93 Tb.upf
Sm 150.36 Sm.upf
Tm 168.93 Tm.upf
Sc 44.96 Sc.upf
ATOMIC_POSITIONS crystal
Tb 0.0542 0.1150 0.7598
Tb 0.4458 0.2402 0.8850
Tb 0.9458 0.8850 0.2402
Tb 0.5542 0.7598 0.1150
Tb 0.3196 0.9891 0.4448
Tb 0.1804 0.5552 0.0109
Tb 0.6804 0.0109 0.5552
Tb 0.8196 0.4448 0.9891
Tb 0.1151 0.7024 0.4877
Tb 0.3849 0.5123 0.2976
Tb 0.8849 0.2976 0.5123
Tb 0.6151 0.4877 0.7024
Sm 0.2500 0.9690 0.0310
Sm 0.7500 0.0310 0.9690
Tm 0.2500 0.4094 0.5906
Tm 0.7500 0.5906 0.4094
Sc 0.4490 0.7991 0.6960
Sc 0.0510 0.3040 0.2009
Sc 0.5510 0.2009 0.3040
Sc 0.9490 0.6960 0.7991
CELL_PARAMETERS angstrom
8.9453 -1.8521 -1.9221
0.8049 8.3809 -1.9015
0.8049 -2.2108 8.3046
```

Results
Energy of formation from the pure elements   12.1 kJ/mol of atoms
Symmetry   C2/c (15)
Raw total energy   -96.76 eV for the cell shown

---

2.
This record from the Alexandria database describes crystalline Tb3Sm2Tm6Sc at its relaxed geometry. The functional is PBE. Values from VASP.

Structure (Quantum ESPRESSO input):
```
&SYSTEM
  ibrav = 0, nat = 12, ntyp = 4
/
ATOMIC_SPECIES
Tb 158.93 Tb.upf
Sm 150.36 Sm.upf
Tm 168.93 Tm.upf
Sc 44.96 Sc.upf
ATOMIC_POSITIONS crystal
Tb 0.1665 0.8335 0.5000
Tb 0.8335 0.1665 0.5000
Tb 0.5000 0.5000 0.5000
Sm 0.3334 0.6666 0.0000
Sm 0.6666 0.3334 0.0000
Tm 0.9172 0.5866 0.7511
Tm 0.7522 0.7522 0.2492
Tm 0.0828 0.4134 0.2489
Tm 0.5866 0.9172 0.7511
Tm 0.2478 0.2478 0.7508
Tm 0.4134 0.0828 0.2489
Sc 0.0000 0.0000 0.0000
CELL_PARAMETERS angstrom
6.0759 0.0006 0.0019
-3.0360 5.2631 0.0019
-1.0148 -1.7571 11.4481
```

Results
Energy of formation from the pure elements   2.7 kJ/mol of atoms
Symmetry   C2/m (12)
Raw total energy   -56.15 eV for the cell shown

---

Results for spin magnetization: 0.000 0.000 (in μB/atom, following the order of the records).
Results for density of states at the Fermi level: 16.0 15.8 (in states/eV/f.u., following the order of the records).